This record from Alexandria via LeMat-Bulk describes La2Ni3As4Pd after structural relaxation. The functional is PBE.

```
La2Ni3As4Pd
1.0
-1.778 2.522 3.022
-2.223 -3.380 1.513
7.232 -2.076 5.987
La Ni As Pd
2 3 4 1
direct
0.500 0.000 0.248
0.000 0.500 0.752
0.000 0.000 0.500
0.500 0.000 0.888
0.000 0.500 0.112
0.500 0.500 0.000
0.000 0.000 0.000
0.500 0.000 0.638
0.000 0.500 0.362
0.500 0.500 0.500
```

Raw total energy = -5.998 eV/atom
ΔH_f (0 K) = -0.8994 eV per atom
Calculated density = 8.0 g/cm3
Total moment = 0.0 μB per formula unit